DFT (PBE) results for NaCuSb3 after structural relaxation.

a = 6.2820 Å, b = 6.2786 Å, c = 7.1243 Å
α = 90.00°, β = 90.00°, γ = 73.59°
Positions (direct):
Sb1 0.1504 0.3533 0.5524
Sb2 0.5617 0.2009 0.3023
Sb3 0.5617 0.2009 0.8024
Sb4 0.9988 0.7648 0.8023
Sb5 0.4102 0.6123 0.0524
Sb6 0.9988 0.7648 0.3024
Cu1 0.6695 0.8713 0.0524
Cu2 0.8911 0.0944 0.5524
Na1 0.0436 0.2471 0.0524
Na2 0.5170 0.7186 0.5524

Summary:
The space group is No. 11. For the total DFT energy (no corrections), the calculation gives -3.6210 eV/atom. The calculation puts the relative energy among the computed polymorphs at 0 meV per atom.

---

DFT (PBE) results for Pr8Er4Sc after structural relaxation.

a = 7.2547 Å, b = 7.2547 Å, c = 10.5589 Å
α = 90.00°, β = 110.09°, γ = 120.00°
Positions (direct):
Pr1 0.5046 0.2523 0.2927
Pr2 0.4265 0.2133 0.6398
Pr3 0.4954 0.7477 0.7073
Pr4 0.0404 0.7881 0.2927
Pr5 0.9596 0.7477 0.7073
Pr6 0.0404 0.2523 0.2927
Pr7 0.9596 0.2119 0.7073
Pr8 0.5735 0.7867 0.3602
Er1 0.0000 0.5000 0.0000
Er2 0.0000 0.0000 0.0000
Er3 0.5000 0.5000 0.0000
Er4 0.5000 0.0000 0.0000
Sc1 0.0000 0.5000 0.5000

Summary:
As for the formation energy from the elements: 0.17 eV per atom. The space group is No. 166. For the total DFT energy (no corrections), the calculation gives -4.6579 eV/atom.

---

DFT (PBE) results for Zr2Sc6Tc after structural relaxation.

a = 4.7189 Å, b = 6.5196 Å, c = 7.5707 Å
α = 115.50°, β = 90.00°, γ = 90.00°
Positions (direct):
Tc1 0.0000 0.0000 0.0000
Zr1 0.5000 0.2253 0.4507
Zr2 0.5000 0.7747 0.5493
Sc1 0.0000 0.8789 0.2868
Sc2 0.5000 0.7622 0.0000
Sc3 0.0000 0.1211 0.7132
Sc4 0.5000 0.2378 0.0000
Sc5 0.0000 0.4080 0.2868
Sc6 0.0000 0.5920 0.7132

Summary:
As for the formation energy from the elements: 0.04 eV per atom. The space group is No. 65. For the total DFT energy (no corrections), the calculation gives -7.2365 eV/atom.

---

DFT (PBE) results for RbNb2CrP after structural relaxation.

a = 4.6253 Å, b = 5.3496 Å, c = 4.6253 Å
α = 90.00°, β = 90.00°, γ = 90.00°
Positions (direct):
Cr1 0.0000 0.0000 0.0000
P1 0.5000 0.5000 0.5000
Nb1 0.5000 0.0000 0.0000
Nb2 0.0000 0.0000 0.5000
Rb1 0.0000 0.5000 0.0000

Summary:
As for the formation energy from the elements: 1.55 eV per atom. The space group is No. 123. For the total DFT energy (no corrections), the calculation gives -5.6748 eV/atom.

---

DFT (PBE) results for SrCa2Rh after structural relaxation.

a = 4.8053 Å, b = 4.8053 Å, c = 5.0605 Å
α = 90.00°, β = 90.00°, γ = 90.00°
Positions (direct):
Ca1 0.0000 0.0000 0.0000
Ca2 0.5000 0.5000 0.0000
Rh1 0.5000 0.0000 0.5000
Sr1 0.0000 0.5000 0.5000

Summary:
As for the formation energy from the elements: 0.06 eV per atom. The space group is No. 123. For the total DFT energy (no corrections), the calculation gives -3.1961 eV/atom. The calculation puts the relative energy among the computed polymorphs at 350 meV per atom.

---

DFT (PBE) results for NaHoHgPb after structural relaxation.

a = 5.2997 Å, b = 5.2997 Å, c = 5.2997 Å
α = 60.00°, β = 60.00°, γ = 60.00°
Positions (direct):
Hg1 0.5000 0.5000 0.5000
Pb1 0.0000 0.0000 0.0000
Na1 0.7500 0.7500 0.7500
Ho1 0.2500 0.2500 0.2500

Summary:
As for the formation energy from the elements: -0.35 eV per atom. The space group is No. 216. For the total DFT energy (no corrections), the calculation gives -2.8309 eV/atom.

---

DFT (PBE) results for CoCu3 after structural relaxation.

a = 4.4195 Å, b = 4.4195 Å, c = 10.1785 Å
α = 149.88°, β = 149.88°, γ = 32.69°
Site moments in Bohr magnetons follow the coordinates.
Positions (direct):
Cu1 0.0041 0.0041 0.7528  -0.01
Cu2 0.9959 0.9959 0.2472  -0.01
Cu3 0.0000 0.0000 0.5000  0.01
Co1 0.0000 0.0000 0.0000  1.31

Summary:
As for the formation energy from the elements: 0.12 eV per atom. The space group is No. 12. For the total DFT energy (no corrections), the calculation gives -4.7255 eV/atom.

---

DFT (PBE) results for ScZnGa after structural relaxation.

a = 4.3319 Å, b = 4.3319 Å, c = 4.3319 Å
α = 60.00°, β = 60.00°, γ = 60.00°
Positions (direct):
Ga1 0.0000 0.0000 0.0000
Sc1 0.5000 0.5000 0.5000
Zn1 0.2500 0.2500 0.2500

Summary:
As for the formation energy from the elements: -0.37 eV per atom. The space group is No. 216. For the total DFT energy (no corrections), the calculation gives -3.9134 eV/atom.

---

DFT (PBE) results for DyYTlRu after structural relaxation.

a = 5.0868 Å, b = 5.0868 Å, c = 5.0868 Å
α = 60.00°, β = 60.00°, γ = 60.00°
Positions (direct):
Y1 0.7500 0.7500 0.7500
Dy1 0.2500 0.2500 0.2500
Ru1 0.5000 0.5000 0.5000
Tl1 0.0000 0.0000 0.0000

Summary:
As for the formation energy from the elements: -0.26 eV per atom. The space group is No. 216. For the total DFT energy (no corrections), the calculation gives -5.9351 eV/atom.

---

DFT (PBE) results for Rb2MgTaAs after structural relaxation.

a = 7.0164 Å, b = 4.6769 Å, c = 7.0164 Å
α = 90.00°, β = 90.00°, γ = 90.00°
Site moments in Bohr magnetons follow the coordinates.
Positions (direct):
Rb1 0.5000 0.0000 0.0000  0.02
Rb2 0.0000 0.0000 0.5000  0.02
As1 0.0000 0.5000 0.0000  -0.01
Ta1 0.5000 0.5000 0.5000  2.26
Mg1 0.0000 0.0000 0.0000  0.01

Summary:
As for the formation energy from the elements: 1.24 eV per atom. The space group is No. 123. For the total DFT energy (no corrections), the calculation gives -2.7650 eV/atom.

---

DFT (PBE) results for ScTcNi after structural relaxation.

a = 4.2448 Å, b = 4.2448 Å, c = 4.2448 Å
α = 60.00°, β = 60.00°, γ = 60.00°
Site moments in Bohr magnetons follow the coordinates.
Positions (direct):
Sc1 0.7500 0.7500 0.7500  0.00
Ni1 0.5000 0.5000 0.5000  0.37
Tc1 0.0000 0.0000 0.0000  1.55

Summary:
As for the formation energy from the elements: 0.87 eV per atom. The space group is No. 216. For the total DFT energy (no corrections), the calculation gives -6.6259 eV/atom. The calculation puts the relative energy among the computed polymorphs at 1226 meV per atom.

---

DFT (PBE) results for TlBrO after structural relaxation.

a = 3.6400 Å, b = 5.5239 Å, c = 16.7829 Å
α = 90.00°, β = 90.00°, γ = 90.00°
Positions (direct):
Tl1 0.2500 0.4098 0.1880
Tl2 0.7500 0.5902 0.8120
Tl3 0.7500 0.9098 0.3120
Tl4 0.2500 0.0902 0.6880
Br1 0.7500 0.2758 0.5776
Br2 0.2500 0.7758 0.9224
Br3 0.7500 0.2242 0.0776
Br4 0.2500 0.7242 0.4224
O1 0.2500 0.1064 0.2752
O2 0.7500 0.8936 0.7248
O3 0.2500 0.3936 0.7752
O4 0.7500 0.6064 0.2248

Summary:
The space group is No. 62. For the total DFT energy (no corrections), the calculation gives -3.5051 eV/atom.